# 1
Entry from Alexandria via LeMat-Bulk: a geometry-optimized Pm3Dy2Sc2 structure (GGA-PBE).

Computed properties:
distance to the lowest polymorph of the same formula: 7 meV/atom
spin magnetization: 0.00 μB/f.u.
Fermi-level density of states: 10.423 states/eV/f.u.
E_form: 4.64 kJ per mole of atoms
SG: No. 12

Lattice parameters (Å, degrees): 4.9755 6.0495 7.8767 97.69 90.00 114.28
Sites, in units of the cell vectors:
Pm1 0.5000 0.0000 0.0000
Sc1 0.2164 0.4329 0.1378
Pm2 0.6443 0.2885 0.4303
Pm3 0.3557 0.7115 0.5697
Dy1 0.0714 0.1428 0.7222
Sc2 0.7836 0.5671 0.8622
Dy2 0.9286 0.8572 0.2778


# 2
Entry from Alexandria via LeMat-Bulk: a geometry-optimized Pm2DySc8 structure (GGA-PBE).

Computed properties:
spin magnetization: 0.00 μB/f.u.
Fermi-level density of states: 15.937 states/eV/f.u.
E_form: 14.80 kJ per mole of atoms
SG: No. 12

Lattice parameters (Å, degrees): 5.5285 8.6742 8.8259 60.57 73.46 54.59
Sites, in units of the cell vectors:
Sc1 0.1873 0.9039 0.7634
Sc2 0.8127 0.0961 0.2366
Pm1 0.0000 0.6935 0.6130
Sc3 0.5000 0.2057 0.5885
Pm2 0.0000 0.3065 0.3870
Sc4 0.8127 0.3327 0.7634
Dy1 0.5000 0.0000 0.0000
Sc5 0.2876 0.4484 0.0000
Sc6 0.5000 0.7943 0.4115
Sc7 0.1873 0.6673 0.2366
Sc8 0.7124 0.5516 0.0000


# 3
Entry from Alexandria via LeMat-Bulk: a geometry-optimized Pm15DySc4 structure (GGA-PBE).

Computed properties:
spin magnetization: 0.00 μB/f.u.
Fermi-level density of states: 24.403 states/eV/f.u.
E_form: 2.86 kJ per mole of atoms
SG: No. 123

Lattice parameters (Å, degrees): 5.0450 5.0450 25.1441 90.00 90.00 90.00
Sites, in units of the cell vectors:
Pm1 0.5000 0.5000 0.7975
Pm2 0.0000 0.5000 0.6985
Pm3 0.0000 0.5000 0.8969
Sc1 0.0000 0.0000 0.2023
Pm4 0.5000 0.5000 0.2025
Pm5 0.5000 0.0000 0.3015
Pm6 0.5000 0.5000 0.5992
Pm7 0.0000 0.5000 0.1031
Sc2 0.0000 0.0000 0.4007
Pm8 0.0000 0.5000 0.5000
Pm9 0.5000 0.0000 0.1031
Pm10 0.5000 0.0000 0.8969
Pm11 0.5000 0.5000 0.4008
Sc3 0.0000 0.0000 0.7977
Pm12 0.5000 0.0000 0.6985
Pm13 0.5000 0.5000 0.0000
Pm14 0.5000 0.0000 0.5000
Dy1 0.0000 0.0000 0.0000
Pm15 0.0000 0.5000 0.3015
Sc4 0.0000 0.0000 0.5993


# 4
Entry from Alexandria via LeMat-Bulk: a geometry-optimized Pm2Dy6Sc5 structure (GGA-PBE).

Computed properties:
spin magnetization: 0.00 μB/f.u.
Fermi-level density of states: 17.699 states/eV/f.u.
E_form: 11.75 kJ per mole of atoms
SG: No. 55

Lattice parameters (Å, degrees): 3.4874 11.4115 19.3958 90.00 90.00 90.00
Sites, in units of the cell vectors:
Pm1 0.0000 0.6546 0.7172
Dy1 0.0000 0.0552 0.0795
Sc1 0.5000 0.8012 0.0503
Dy2 0.5000 0.8247 0.3793
Sc2 0.5000 0.1988 0.9497
Dy3 0.5000 0.6753 0.8793
Sc3 0.5000 0.3012 0.4497
Dy4 0.0000 0.9128 0.6337
Dy5 0.5000 0.3247 0.1207
Sc4 0.5000 0.3953 0.7223
Sc5 0.5000 0.0000 0.5000
Dy6 0.0000 0.9448 0.9205
Sc6 0.5000 0.5000 0.0000
Dy7 0.0000 0.4448 0.5795
Pm2 0.0000 0.8454 0.2172
Pm3 0.0000 0.3454 0.2828
Pm4 0.0000 0.1546 0.7828
Sc7 0.5000 0.1047 0.2223
Dy8 0.0000 0.5872 0.1337
Sc8 0.5000 0.8953 0.7777
Dy9 0.0000 0.0872 0.3663
Dy10 0.0000 0.4128 0.8663
Dy11 0.0000 0.5552 0.4205
Sc9 0.5000 0.6988 0.5503
Dy12 0.5000 0.1753 0.6207
Sc10 0.5000 0.6047 0.2777


# 5
Entry from Alexandria via LeMat-Bulk: a geometry-optimized PmDy14Sc structure (GGA-PBE).

Computed properties:
spin magnetization: 0.00 μB/f.u.
Fermi-level density of states: 18.853 states/eV/f.u.
E_form: 2.14 kJ per mole of atoms
SG: No. 123

Lattice parameters (Å, degrees): 7.0668 7.0668 9.9691 90.00 90.00 90.00
Sites, in units of the cell vectors:
Dy1 0.8749 0.6249 0.0000
Pm1 0.8751 0.1249 0.0000
Dy2 0.8751 0.6251 0.5000
Sc1 0.3749 0.6251 0.0000
Dy3 0.3749 0.1249 0.5000
Dy4 0.1271 0.8729 0.7516
Dy5 0.6229 0.3771 0.2486
Dy6 0.3751 0.1251 0.0000
Dy7 0.6228 0.8728 0.7515
Dy8 0.3750 0.6250 0.5000
Dy9 0.1272 0.3772 0.7515
Dy10 0.8750 0.1250 0.5000
Dy11 0.1272 0.3772 0.2485
Dy12 0.6229 0.3771 0.7514
Dy13 0.6228 0.8728 0.2485
Dy14 0.1271 0.8729 0.2484


# 6
Entry from Alexandria via LeMat-Bulk: a geometry-optimized Pm3Dy4Sc4 structure (GGA-PBE).

Computed properties:
spin magnetization: 0.00 μB/f.u.
Fermi-level density of states: 15.312 states/eV/f.u.
E_form: 13.26 kJ per mole of atoms
SG: No. 71

Lattice parameters (Å, degrees): 3.5008 9.2346 11.4577 113.77 98.79 90.00
Sites, in units of the cell vectors:
Sc1 0.5000 0.8182 0.0000
Pm1 0.0000 0.5000 0.0000
Dy1 0.6503 0.4686 0.3005
Pm2 0.1083 0.1083 0.2166
Pm3 0.8917 0.8917 0.7834
Sc2 0.7412 0.2412 0.4824
Dy2 0.6503 0.8319 0.3005
Sc3 0.5000 0.1818 0.0000
Sc4 0.2588 0.7588 0.5176
Dy3 0.3497 0.5314 0.6995
Dy4 0.3497 0.1681 0.6995